NdDy6Er2Th3: optimized geometry, GGA-PBE.

Summary:
The total moment comes out at 0.0 μB/f.u. As for the formation energy: 0.022 eV/atom. The value obtained for the theoretical density is 9.4 g/cm³. The calculated volume comes out at 31.79 Å³/atom. For the calculated total energy, the calculation gives -63.5 eV/cell.

abc: 6.175 6.175 11.736
angles: 95.04 95.04 119.99
Atoms (fractional coordinates):
Nd 0.000 0.000 0.000
Dy 0.085 0.419 0.254
Dy 0.249 0.249 0.746
Dy 0.419 0.085 0.254
Dy 0.581 0.915 0.746
Dy 0.751 0.751 0.254
Dy 0.915 0.581 0.746
Er 0.333 0.667 0.000
Er 0.667 0.333 0.000
Th 0.166 0.834 0.500
Th 0.500 0.500 0.500
Th 0.834 0.166 0.500

---

NdDy2Er2Th2: optimized geometry, GGA-PBE.

Summary:
The total moment comes out at 0.0 μB/f.u. As for the formation energy: 0.187 eV/atom. The value obtained for the theoretical density is 9.2 g/cm³. The calculated volume comes out at 32.70 Å³/atom. For the calculated total energy, the calculation gives -73.3 eV/cell.

abc: 11.394 3.428 11.919
angles: 90.00 100.42 90.00
Atoms (fractional coordinates):
Nd 0.000 0.000 0.000
Nd 0.500 0.500 0.000
Dy 0.152 0.500 0.574
Dy 0.348 0.000 0.426
Dy 0.652 0.000 0.574
Dy 0.848 0.500 0.426
Er 0.094 0.500 0.277
Er 0.406 0.000 0.723
Er 0.594 0.000 0.277
Er 0.906 0.500 0.723
Th 0.208 0.500 0.862
Th 0.292 0.000 0.138
Th 0.708 0.000 0.862
Th 0.792 0.500 0.138

---

NdDyEr5Th2: optimized geometry, GGA-PBE.

Summary:
The total moment comes out at 0.0 μB/f.u. As for the formation energy: 0.335 eV/atom. The value obtained for the theoretical density is 9.1 g/cm³. The calculated volume comes out at 32.61 Å³/atom. For the calculated total energy, the calculation gives -88.0 eV/cell.

abc: 9.870 9.870 9.870
angles: 127.51 127.51 77.43
Atoms (fractional coordinates):
Nd 0.250 0.750 0.500
Nd 0.750 0.250 0.500
Dy 0.250 0.250 0.000
Dy 0.750 0.750 0.000
Er 0.000 0.000 0.000
Er 0.069 0.569 0.917
Er 0.152 0.069 0.500
Er 0.348 0.848 0.917
Er 0.431 0.348 0.500
Er 0.500 0.500 0.000
Er 0.569 0.652 0.500
Er 0.652 0.152 0.083
Er 0.848 0.931 0.500
Er 0.931 0.431 0.083
Th 0.119 0.381 0.500
Th 0.381 0.881 0.261
Th 0.619 0.119 0.739
Th 0.881 0.619 0.500

---

Nd3Dy6Er2Th: optimized geometry, GGA-PBE.

Summary:
The total moment comes out at 0.0 μB/f.u. As for the formation energy: 0.021 eV/atom. The value obtained for the theoretical density is 8.5 g/cm³. The calculated volume comes out at 32.28 Å³/atom. For the calculated total energy, the calculation gives -58.2 eV/cell.

abc: 6.193 6.193 11.839
angles: 95.01 95.01 119.98
Atoms (fractional coordinates):
Nd 0.000 0.000 0.000
Nd 0.333 0.667 0.000
Nd 0.667 0.333 0.000
Dy 0.087 0.417 0.254
Dy 0.252 0.252 0.746
Dy 0.417 0.087 0.254
Dy 0.583 0.913 0.746
Dy 0.748 0.748 0.254
Dy 0.913 0.583 0.746
Er 0.167 0.833 0.500
Er 0.833 0.167 0.500
Th 0.500 0.500 0.500

---

Nd4DyEr2Th: optimized geometry, GGA-PBE.

Summary:
The total moment comes out at 0.0 μB/f.u. As for the formation energy: 0.032 eV/atom. The value obtained for the theoretical density is 8.2 g/cm³. The calculated volume comes out at 33.22 Å³/atom. For the calculated total energy, the calculation gives -40.0 eV/cell.

abc: 5.096 5.096 10.232
angles: 90.00 90.00 90.00
Atoms (fractional coordinates):
Nd 0.000 0.500 0.249
Nd 0.000 0.500 0.751
Nd 0.500 0.000 0.249
Nd 0.500 0.000 0.751
Dy 0.000 0.000 0.500
Er 0.000 0.000 0.000
Er 0.500 0.500 0.500
Th 0.500 0.500 0.000

---

Nd2DyEr4Th: optimized geometry, GGA-PBE.

Summary:
The total moment comes out at 0.0 μB/f.u. As for the formation energy: 0.032 eV/atom. The value obtained for the theoretical density is 8.8 g/cm³. The calculated volume comes out at 31.99 Å³/atom. For the calculated total energy, the calculation gives -39.5 eV/cell.

abc: 5.066 5.082 9.940
angles: 90.00 90.00 90.00
Atoms (fractional coordinates):
Nd 0.000 0.000 0.000
Nd 0.500 0.500 0.500
Dy 0.000 0.000 0.500
Er 0.000 0.500 0.247
Er 0.000 0.500 0.753
Er 0.500 0.000 0.247
Er 0.500 0.000 0.753
Th 0.500 0.500 0.000